No. 1
The following is a DFT calculation (PBE) of a relaxed Li3SnAu3 crystal.

Unit cell a=5.1570 b=7.5313 c=7.5784 alpha=115.52 beta=97.35 gamma=107.84
Space group P-1 (No. 2)
Unique sites:
Li 0.0530 0.3069 0.4405
Li 0.2078 0.4728 0.8893
Li 0.2181 0.9631 0.3792
Sn 0.3707 0.6008 0.3202
Au 0.0698 0.8147 0.9711
Au 0.3465 0.1177 0.8068
Au 0.4748 0.7477 0.7420

Results
Total magnetic moment ... 0.00 μB/f.u.
Distance to the lowest polymorph of the same formula ... 0.020 eV/atom
Formation energy from the elements ... -418 meV per atom
D(E_F) ... 0.282 states/eV per atom
Calculated total energy ... -45.00 eV per cell

No. 2
The following is a DFT calculation (PBE) of a relaxed BaTcAsBr2 crystal.

Unit cell a=5.3579 b=5.3579 c=4.7965 alpha=90.00 beta=90.00 gamma=90.00
Space group P4/mmm (No. 123)
Unique sites:
Ba 0.0000 0.0000 0.0000
Tc 0.5000 0.5000 0.5000
As 0.5000 0.5000 0.0000
Br 0.0000 0.5000 0.5000

Results
Total magnetic moment ... 0.49 μB/f.u.
Distance to the lowest polymorph of the same formula ... 0.000 eV/atom
Formation energy without anion corrections ... -0.582 eV per atom
D(E_F) ... 0.966 states/eV per atom
Calculated total energy ... -23.19 eV per cell

No. 3
The following is a DFT calculation (PBE) of a relaxed MnGaBRuSe crystal.

Unit cell a=3.2893 b=3.2893 c=7.9233 alpha=90.00 beta=90.00 gamma=120.00
Space group P3m1 (No. 156)
Unique sites:
Mn 0.0000 0.0000 0.0000
Ga 0.3333 0.6667 0.4832
B 0.3333 0.6667 0.1486
Ru 0.6667 0.3333 0.2633
Se 0.3333 0.6667 0.8047

Results
Total magnetic moment ... 2.57 μB/f.u.
Distance to the lowest polymorph of the same formula ... 0.045 eV/atom
Formation energy without anion corrections ... -0.173 eV per atom
D(E_F) ... 0.439 states/eV per atom
Calculated total energy ... -32.50 eV per cell